DFT (GGA+U) results for an optimized crystal structure of MgScVO4.

Cell lengths 6.1378, 6.1378, 6.1378 Å; angles 119.95, 119.19, 90.75 degrees
Element x y z (fractional)
Mg 0.3724 0.1224 0.2500
Mg 0.6276 0.8776 0.7500
Sc 0.0000 0.5000 0.5000
Sc 0.5000 0.5000 0.0000
V 0.0000 0.0000 0.5000
V 0.0000 0.5000 0.0000
O 0.2242 0.7448 0.4793
O 0.2345 0.2552 0.9793
O 0.2365 0.2524 0.5160
O 0.2365 0.7205 0.9840
O 0.7635 0.2795 0.0160
O 0.7635 0.7476 0.4840
O 0.7655 0.7448 0.0207
O 0.7758 0.2552 0.5207

Values from the calculation:
calculated volume = 164.5 Å³/cell
size of the total moment = 4.00 Bohr magnetons per cell
final energy = -109.3 eV per cell
symmetry = Imma, No. 74